1.
A plane-wave DFT calculation with PBE was carried out for La4TbIn5 after structural relaxation.

Summary:
Size of the total moment: 0.0 μB/f.u.
Volume: 301 Å³/cell
Energy relative to the elements: -11.76 kcal/mol of atoms
Raw total energy: -0.159 Ha/atom

abc: 3.8889 3.8889 19.8780
angles: 90.00 90.00 90.00
Sites, in units of the cell vectors:
La  0.0000  0.0000  0.1023
La  0.0000  0.0000  0.3072
La  0.0000  0.0000  0.6928
La  0.0000  0.0000  0.8977
Tb  0.0000  0.0000  0.5000
In  0.5000  0.5000  0.0000
In  0.5000  0.5000  0.2048
In  0.5000  0.5000  0.4112
In  0.5000  0.5000  0.5888
In  0.5000  0.5000  0.7952

2.
A plane-wave DFT calculation with PBE was carried out for Sn2HgP after structural relaxation.

Summary:
Size of the total moment: 0.0 μB/f.u.
Volume: 250 Å³/cell
Distance to the lowest polymorph of the same formula: 0.37 eV/f.u.
Energy relative to the elements: 2.32 kcal/mol of atoms
Raw total energy: -0.122 Ha/atom

abc: 7.5234 7.5234 7.5234
angles: 128.99 128.99 75.02
Sites, in units of the cell vectors:
Sn  0.0988  0.6250  0.9738
Sn  0.3750  0.3488  0.4738
Sn  0.6512  0.1250  0.0262
Sn  0.8750  0.9012  0.5262
Hg  0.2500  0.7500  0.5000
Hg  0.5000  0.5000  0.0000
P  0.0000  0.0000  0.0000
P  0.7500  0.2500  0.5000

3.
A plane-wave DFT calculation with PBE was carried out for CuAg3Te3 after structural relaxation.

Summary:
Raw formation energy: 17.8 meV/atom
Size of the total moment: 0.0 μB/f.u.
Volume: 357 Å³/cell
Distance to the lowest polymorph of the same formula: 0.25 eV/f.u.
Raw total energy: -0.115 Ha/atom

abc: 7.5729 7.5729 7.2681
angles: 98.75 98.75 116.59
Sites, in units of the cell vectors:
Cu  0.1484  0.1484  0.1207
Cu  0.8516  0.8516  0.8793
Ag  0.1678  0.8322  0.5000
Ag  0.2954  0.7046  0.0000
Ag  0.4973  0.4973  0.7927
Ag  0.5027  0.5027  0.2073
Ag  0.7046  0.2954  0.0000
Ag  0.8322  0.1678  0.5000
Te  0.1178  0.4759  0.2505
Te  0.1389  0.1389  0.7509
Te  0.4759  0.1178  0.2505
Te  0.5241  0.8822  0.7495
Te  0.8611  0.8611  0.2491
Te  0.8822  0.5241  0.7495